This record from Alexandria via LeMat-Bulk describes a relaxed structure of CoRuSe2. The functional is GGA-PBE.

distance to the lowest polymorph of the same formula	0.458	eV per atom

Lattice parameters (Å, degrees): 7.8258 7.8258 7.8258 23.66 23.66 23.66
Atoms (fractional coordinates):
Co 0.0000 0.0000 0.0000
Ru 0.5000 0.5000 0.5000
Se 0.3963 0.3963 0.3963
Se 0.6037 0.6037 0.6037